# 1
# TaCoCl2 (PBE-GGA, relaxed)
# Space group = Pmmm (47)
# Calculated volume = 16.1 Å³/atom
# E = -5.222 eV per atom
# Offset from the most stable computed form = 0.959 eV/atom
# Formation energy without anion corrections = 0.441 eV/atom
data_TaCoCl2
_chemical_formula_sum 'Ta1 Co1 Cl2'
_cell_length_a 2.925
_cell_length_b 5.289
_cell_length_c 4.169
_cell_angle_alpha 90.00
_cell_angle_beta 90.00
_cell_angle_gamma 90.00
_space_group_name_H-M_alt 'P 1'
_space_group_IT_number 1
loop_
_space_group_symop_operation_xyz
'x,y,z'
loop_
_atom_site_label
_atom_site_type_symbol
_atom_site_fract_x
_atom_site_fract_y
_atom_site_fract_z
_atom_site_occupancy
Co1 Co 0.500 0.000 0.500 1
Cl1 Cl 0.500 0.500 0.000 1
Cl2 Cl 0.000 0.000 0.000 1
Ta1 Ta 0.000 0.500 0.500 1

***

# 2
# TaCo2Cl (PBE-GGA, relaxed)
# Space group = P4/mmm (123)
# Calculated volume = 14.8 Å³/atom
# E = -6.856 eV per atom
# Offset from the most stable computed form = 0.113 eV/atom
# Formation energy without anion corrections = 0.122 eV/atom
data_TaCo2Cl
_chemical_formula_sum 'Ta1 Co2 Cl1'
_cell_length_a 3.118
_cell_length_b 3.118
_cell_length_c 6.085
_cell_angle_alpha 90.00
_cell_angle_beta 90.00
_cell_angle_gamma 89.98
_space_group_name_H-M_alt 'P 1'
_space_group_IT_number 1
loop_
_space_group_symop_operation_xyz
'x,y,z'
loop_
_atom_site_label
_atom_site_type_symbol
_atom_site_fract_x
_atom_site_fract_y
_atom_site_fract_z
_atom_site_occupancy
Ta1 Ta 0.500 0.500 0.250 1
Co1 Co 0.000 0.000 0.039 1
Co2 Co 0.000 0.000 0.461 1
Cl1 Cl 0.500 0.500 0.750 1

***

# 3
# TaCo2Cl (PBE-GGA, relaxed)
# Space group = I-42d (122)
# Calculated volume = 17.6 Å³/atom
# E = -6.379 eV per atom
# Offset from the most stable computed form = 0.590 eV/atom
# Formation energy without anion corrections = 0.599 eV/atom
data_TaCo2Cl
_chemical_formula_sum 'Ta2 Co4 Cl2'
_cell_length_a 5.551
_cell_length_b 5.551
_cell_length_c 6.014
_cell_angle_alpha 62.52
_cell_angle_beta 62.52
_cell_angle_gamma 90.00
_space_group_name_H-M_alt 'P 1'
_space_group_IT_number 1
loop_
_space_group_symop_operation_xyz
'x,y,z'
loop_
_atom_site_label
_atom_site_type_symbol
_atom_site_fract_x
_atom_site_fract_y
_atom_site_fract_z
_atom_site_occupancy
Cl1 Cl 0.250 0.750 0.500 1
Co1 Co 0.375 0.403 0.750 1
Cl2 Cl 0.500 0.500 0.000 1
Co2 Co 0.153 0.625 0.250 1
Co3 Co 0.875 0.847 0.750 1
Ta1 Ta 0.000 0.000 0.000 1
Co4 Co 0.597 0.125 0.250 1
Ta2 Ta 0.750 0.250 0.500 1